No. 1
Here is a geometry-optimized Dy12TmSc7 structure from Alexandria. Energies are from PBE.

Cell and atoms, written as POSCAR:
```
Dy12TmSc7
1.0
7.3150 4.2233 3.1787
-7.3150 4.2233 3.1787
0.0000 -8.4467 3.1787
Dy Tm Sc
12 1 7
Direct
0.0939 0.4345 0.2038
0.1185 0.2996 0.8251
0.1749 0.8815 0.7004
0.2038 0.0939 0.4345
0.2996 0.8251 0.1185
0.4345 0.2038 0.0939
0.5655 0.7962 0.9061
0.7004 0.1749 0.8815
0.7962 0.9061 0.5655
0.8251 0.1185 0.2996
0.8815 0.7004 0.1749
0.9061 0.5655 0.7962
0.5000 0.5000 0.5000
0.0000 0.0000 0.0000
0.1851 0.5038 0.6043
0.3957 0.8149 0.4962
0.4962 0.3957 0.8149
0.5038 0.6043 0.1851
0.6043 0.1851 0.5038
0.8149 0.4962 0.3957
```

Computed properties:
Space group: R-3, No. 148
Crystal system: trigonal
Formation energy: 170 meV/atom
Magnetization: 5.012 Bohr magnetons per cell

=====

No. 2
Here is a geometry-optimized Dy8Tm3Sc4 structure from Alexandria. Energies are from PBE.

Cell and atoms, written as POSCAR:
```
Dy8Tm3Sc4
1.0
6.5099 -5.8919 0.0000
6.5099 5.8919 0.0000
-2.8889 0.0000 5.9091
Dy Tm Sc
8 3 4
Direct
0.2025 0.2025 0.1661
0.2041 0.7959 0.0000
0.2605 0.7395 0.5000
0.2656 0.2656 0.6998
0.7344 0.7344 0.3002
0.7395 0.2605 0.5000
0.7959 0.2041 0.0000
0.7975 0.7975 0.8339
0.0000 0.0000 0.5000
0.0000 0.5000 0.0000
0.5000 0.0000 0.0000
0.0000 0.5000 0.5000
0.5000 0.0000 0.5000
0.5000 0.5000 0.0000
0.5000 0.5000 0.5000
```

Computed properties:
Space group: C2/m, No. 12
Crystal system: monoclinic
Formation energy: 387 meV/atom
Magnetization: 0.534 Bohr magnetons per cell

=====

No. 3
Here is a geometry-optimized Dy2TmSc7 structure from Alexandria. Energies are from PBE.

Cell and atoms, written as POSCAR:
```
Dy2TmSc7
1.0
3.0130 -13.5225 0.0000
3.0130 13.5225 0.0000
0.0000 0.0000 3.3149
Dy Tm Sc
2 1 7
Direct
0.2105 0.7895 0.0000
0.7895 0.2105 0.0000
0.5000 0.5000 0.5000
0.0000 0.0000 0.0000
0.1556 0.3516 0.0000
0.3182 0.6818 0.5000
0.3516 0.1556 0.0000
0.6484 0.8444 0.0000
0.6818 0.3182 0.5000
0.8444 0.6484 0.0000
```

Computed properties:
Space group: Cmmm, No. 65
Crystal system: orthorhombic
Formation energy: 146 meV/atom
Magnetization: 0.002 Bohr magnetons per cell

=====

- Number 2 is which compound?
  Dy8Tm3Sc4